The following is a PBE+U calculation of PrV2O6 after structural relaxation, from Alexandria via LeMat-Bulk.

It has space group P2_1 (No. 4), with a = 5.463 Å, b = 5.407 Å, c = 7.588 Å, α = 90.00°, β = 90.64° and γ = 90.00°. Symmetry generates all atoms from Pr at (0.207, 0.000, 0.258), V at (0.260, 0.493, 0.497), V at (0.270, 0.535, 0.992), O at (0.027, 0.743, 0.524), O at (0.044, 0.766, 0.970), O at (0.244, 0.434, 0.762), O at (0.262, 0.552, 0.239), O at (0.457, 0.202, 0.035) and O at (0.467, 0.226, 0.473).

The calculation puts the magnetic moment at 1.00 μB per formula unit. As for the uncorrected energy: -140.06 eV per cell. Its crystal system is monoclinic.